1.
Here is an optimized crystal structure of HfScCoBi from OQMD. Energies are from PBE.

Cell lengths 4.8066, 4.8066, 4.8066 Å; angles 60.00, 60.00, 60.00 degrees
Atoms (fractional coordinates):
Hf 0.0000 0.0000 0.0000
Sc 0.2500 0.2500 0.2500
Co 0.7500 0.7500 0.7500
Bi 0.5000 0.5000 0.5000

Properties
**Space-group type**: F-43m
**Total moment**: 2.593 μB per formula unit
**Uncorrected energy**: -6.625 eV per atom

***

2.
Here is an optimized crystal structure of Ga2CuTe4 from OQMD. Energies are from PBE.

Cell lengths 8.3642, 8.3642, 11.2250 Å; angles 90.00, 90.00, 90.00 degrees
Atoms (fractional coordinates):
Ga 0.0000 0.2900 0.0000
Ga 0.0000 0.7100 0.5000
Ga 0.2438 0.2438 0.3750
Ga 0.2438 0.7562 0.1250
Ga 0.2900 0.0000 0.7500
Ga 0.7100 0.0000 0.2500
Ga 0.7562 0.2438 0.6250
Ga 0.7562 0.7562 0.8750
Cu 0.2341 0.5000 0.7500
Cu 0.5000 0.2341 0.0000
Cu 0.5000 0.7659 0.5000
Cu 0.7659 0.5000 0.2500
Te 0.0281 0.2494 0.7551
Te 0.0281 0.7506 0.7449
Te 0.2494 0.0281 0.9949
Te 0.2494 0.9719 0.5051
Te 0.2649 0.4918 0.9859
Te 0.2649 0.5082 0.5141
Te 0.4918 0.2649 0.7641
Te 0.4918 0.7351 0.7359
Te 0.5082 0.2649 0.2359
Te 0.5082 0.7351 0.2641
Te 0.7351 0.4918 0.0141
Te 0.7351 0.5082 0.4859
Te 0.7506 0.0281 0.0051
Te 0.7506 0.9719 0.4949
Te 0.9719 0.2494 0.2449
Te 0.9719 0.7506 0.2551

Properties
**Space-group type**: P4_122
**Uncorrected energy**: -3.301 eV per atom